1.
DFT (PBE-GGA) results for an optimized crystal structure of H3Pd3Pt.

Unit cell a=8.328 b=8.328 c=8.066 alpha=90.00 beta=90.00 gamma=90.00
Space group I-4 (No. 82)
Inequivalent atoms, fractional coordinates:
H 0.100 0.338 0.125 (multiplicity 8)
H 0.104 0.855 0.650 (multiplicity 8)
H 0.145 0.659 0.882 (multiplicity 8)
Pd 0.124 0.126 0.625 (multiplicity 8)
Pd 0.125 0.374 0.876 (multiplicity 8)
Pd 0.125 0.375 0.375 (multiplicity 8)
Pt 0.120 0.878 0.877 (multiplicity 8)

=====

2.
DFT (PBE-GGA) results for an optimized crystal structure of H3Pd4Pt.

Unit cell a=9.931 b=5.005 c=7.467 alpha=90.00 beta=112.96 gamma=90.00
Space group Cc (No. 9)
Inequivalent atoms, fractional coordinates:
H 0.000 0.000 0.000 (multiplicity 4)
H 0.240 0.484 0.123 (multiplicity 4)
H 0.342 0.004 0.314 (multiplicity 4)
Pd 0.068 0.337 0.454 (multiplicity 4)
Pd 0.268 0.334 0.859 (multiplicity 4)
Pd 0.370 0.165 0.559 (multiplicity 4)
Pd 0.470 0.335 0.257 (multiplicity 4)
Pt 0.168 0.165 0.159 (multiplicity 4)

=====

3.
DFT (PBE-GGA) results for an optimized crystal structure of H2PdPt2.

Unit cell a=3.486 b=3.486 c=8.780 alpha=90.00 beta=90.00 gamma=90.00
Space group I4/mmm (No. 139)
Inequivalent atoms, fractional coordinates:
H 0.000 0.500 0.250 (multiplicity 4)
Pd 0.000 0.000 0.000 (multiplicity 2)
Pt 0.000 0.000 0.340 (multiplicity 4)

=====

4.
DFT (PBE-GGA) results for an optimized crystal structure of HPdPt3.

Unit cell a=4.030 b=4.030 c=4.030 alpha=90.00 beta=90.00 gamma=90.00
Space group Pm-3m (No. 221)
Inequivalent atoms, fractional coordinates:
H 0.000 0.000 0.000 (multiplicity 1)
Pd 0.500 0.500 0.500 (multiplicity 1)
Pt 0.000 0.000 0.500 (multiplicity 3)

=====

How do the records compare in spin magnetization? In the order shown, they have 0.0; 0.0; 0.0; 0.0 Bohr magnetons per cell.
How do the records compare in final energy? In the order shown, they have -4.58; -4.66; -4.72; -5.25 eV/atom.